{"formula": "Tl3Hg2Pd4", "functional": "GGA-PBE", "state": "optimized geometry", "dos_ef_per_ev_fu": 2.24, "total_energy_ev_per_atom": -3.260, "magmom_total_mub_per_cell": 0.0, "formation_enthalpy_0k_mev_per_atom": -97, "de_polymorph_mev_per_atom": 9.6, "cell": [[-0.578, -2.015, 3.982], [-3.781, -1.446, -3.823], [7.055, -5.417, -1.718]], "species": ["Tl", "Tl", "Tl", "Hg", "Hg", "Pd", "Pd", "Pd", "Pd"], "frac_coords": [[0.382, 0.764, 0.588], [0.000, 0.000, 0.000], [0.618, 0.236, 0.412], [0.317, 0.634, 0.187], [0.683, 0.366, 0.813], [0.646, 0.293, 0.113], [0.112, 0.223, 0.623], [0.888, 0.777, 0.377], [0.354, 0.707, 0.887]]}